# 1
# ReSb2Ru PBE-GGA relaxed
# Formation energy without anion corrections: 673 meV/atom
# Crystal system: tetragonal
data_ReSb2Ru
_chemical_formula_sum 'Re2 Sb4 Ru2'
_cell_length_a 3.890
_cell_length_b 3.890
_cell_length_c 9.679
_cell_angle_alpha 90.00
_cell_angle_beta 90.00
_cell_angle_gamma 90.00
_symmetry_space_group_name_H-M 'I -4 m 2'
_symmetry_Int_Tables_number 119
_symmetry_space_group_name_Hall 'I -4 -2'
loop_
_atom_site_label
_atom_site_type_symbol
_atom_site_fract_x
_atom_site_fract_y
_atom_site_fract_z
_atom_site_occupancy
Re1 Re 0.000 0.000 0.000 1
Sb1 Sb 0.000 0.000 0.500 1
Sb2 Sb 0.000 0.500 0.250 1
Ru1 Ru 0.000 0.500 0.750 1

---

# 2
# ReSb2Ru PBE-GGA relaxed
# Formation energy without anion corrections: 416 meV/atom
# Crystal system: monoclinic
data_ReSb2Ru
_chemical_formula_sum 'Re2 Sb4 Ru2'
_cell_length_a 8.484
_cell_length_b 3.173
_cell_length_c 5.511
_cell_angle_alpha 90.00
_cell_angle_beta 102.59
_cell_angle_gamma 90.00
_symmetry_space_group_name_H-M 'C 1 2/m 1'
_symmetry_Int_Tables_number 12
loop_
_symmetry_equiv_pos_as_xyz
'x,y,z'
'-x,-y,-z'
'-x,y,-z'
'x,-y,z'
'x+1/2,y+1/2,z'
'-x+1/2,-y+1/2,-z'
'-x+1/2,y+1/2,-z'
'x+1/2,-y+1/2,z'
loop_
_atom_site_label
_atom_site_type_symbol
_atom_site_fract_x
_atom_site_fract_y
_atom_site_fract_z
_atom_site_occupancy
Re1 Re 0.000 0.000 0.000 1
Sb1 Sb 0.250 0.000 0.752 1
Ru1 Ru 0.000 0.500 0.500 1

---

# 3
# Re2SbRu PBE-GGA relaxed
# Formation energy without anion corrections: 524 meV/atom
# Crystal system: tetragonal
data_Re2SbRu
_chemical_formula_sum 'Re2 Sb1 Ru1'
_cell_length_a 3.061
_cell_length_b 3.061
_cell_length_c 6.814
_cell_angle_alpha 90.00
_cell_angle_beta 90.00
_cell_angle_gamma 90.00
_symmetry_space_group_name_H-M 'P 4/m m m'
_symmetry_Int_Tables_number 123
_symmetry_space_group_name_Hall '-P 4 2'
loop_
_atom_site_label
_atom_site_type_symbol
_atom_site_fract_x
_atom_site_fract_y
_atom_site_fract_z
_atom_site_occupancy
Re1 Re 0.000 0.000 0.245 1
Sb1 Sb 0.500 0.500 0.500 1
Ru1 Ru 0.500 0.500 0.000 1

---

# 4
# Re2SbRu PBE-GGA relaxed
# Formation energy without anion corrections: 483 meV/atom
# Crystal system: orthorhombic
data_Re2SbRu
_chemical_formula_sum 'Re4 Sb2 Ru2'
_cell_length_a 3.084
_cell_length_b 4.494
_cell_length_c 9.276
_cell_angle_alpha 90.00
_cell_angle_beta 90.00
_cell_angle_gamma 90.00
_symmetry_space_group_name_H-M 'I m m m'
_symmetry_Int_Tables_number 71
_symmetry_space_group_name_Hall '-I 2 2'
loop_
_atom_site_label
_atom_site_type_symbol
_atom_site_fract_x
_atom_site_fract_y
_atom_site_fract_z
_atom_site_occupancy
Re1 Re 0.000 0.000 0.231 1
Sb1 Sb 0.000 0.500 0.500 1
Ru1 Ru 0.000 0.500 0.000 1

---

# 5
# Re2SbRu PBE-GGA relaxed
# Formation energy without anion corrections: 1323 meV/atom
# Crystal system: tetragonal
data_Re2SbRu
_chemical_formula_sum 'Re8 Sb4 Ru4'
_cell_length_a 5.813
_cell_length_b 5.813
_cell_length_c 11.408
_cell_angle_alpha 90.00
_cell_angle_beta 90.00
_cell_angle_gamma 90.00
_symmetry_space_group_name_H-M 'I -4 2 d'
_symmetry_Int_Tables_number 122
_symmetry_space_group_name_Hall 'I -4 2bw'
loop_
_atom_site_label
_atom_site_type_symbol
_atom_site_fract_x
_atom_site_fract_y
_atom_site_fract_z
_atom_site_occupancy
Re1 Re 0.214 0.250 0.125 1
Sb1 Sb 0.000 0.000 0.500 1
Ru1 Ru 0.000 0.000 0.000 1

---

# 6
# Re2SbRu PBE-GGA relaxed
# Formation energy without anion corrections: 563 meV/atom
# Crystal system: orthorhombic
data_Re2SbRu
_chemical_formula_sum 'Re4 Sb2 Ru2'
_cell_length_a 5.233
_cell_length_b 8.384
_cell_length_c 2.944
_cell_angle_alpha 90.00
_cell_angle_beta 90.00
_cell_angle_gamma 90.00
_symmetry_space_group_name_H-M 'C m m m'
_symmetry_Int_Tables_number 65
_symmetry_space_group_name_Hall '-C 2 2'
loop_
_atom_site_label
_atom_site_type_symbol
_atom_site_fract_x
_atom_site_fract_y
_atom_site_fract_z
_atom_site_occupancy
Re1 Re 0.250 0.250 0.000 1
Sb1 Sb 0.000 0.000 0.500 1
Ru1 Ru 0.000 0.500 0.500 1

---

# 7
# Re2SbRu PBE-GGA relaxed
# Formation energy without anion corrections: 565 meV/atom
# Crystal system: cubic
data_Re2SbRu
_chemical_formula_sum 'Re8 Sb4 Ru4'
_cell_length_a 6.370
_cell_length_b 6.370
_cell_length_c 6.370
_cell_angle_alpha 90.00
_cell_angle_beta 90.00
_cell_angle_gamma 90.00
_symmetry_space_group_name_H-M 'F -4 3 m'
_symmetry_Int_Tables_number 216
_symmetry_space_group_name_Hall 'F -4 2 3'
loop_
_atom_site_label
_atom_site_type_symbol
_atom_site_fract_x
_atom_site_fract_y
_atom_site_fract_z
_atom_site_occupancy
Re1 Re 0.000 0.000 0.000 1
Re2 Re 0.250 0.250 0.250 1
Sb1 Sb 0.000 0.000 0.500 1
Ru1 Ru 0.250 0.250 0.750 1

---

# 8
# ReSb3Ru PBE-GGA relaxed
# Formation energy without anion corrections: 1306 meV/atom
# Crystal system: cubic
data_ReSb3Ru
_chemical_formula_sum 'Re1 Sb3 Ru1'
_cell_length_a 5.106
_cell_length_b 5.106
_cell_length_c 5.106
_cell_angle_alpha 90.00
_cell_angle_beta 90.00
_cell_angle_gamma 90.00
_symmetry_space_group_name_H-M 'P m -3 m'
_symmetry_Int_Tables_number 221
_symmetry_space_group_name_Hall '-P 4 2 3'
loop_
_atom_site_label
_atom_site_type_symbol
_atom_site_fract_x
_atom_site_fract_y
_atom_site_fract_z
_atom_site_occupancy
Re1 Re 0.000 0.000 0.000 1
Sb1 Sb 0.000 0.000 0.500 1
Ru1 Ru 0.500 0.500 0.500 1